Material: Li2AlPd5
Method: DFT, PBE-GGA
State: relaxed

The density of states at the Fermi level comes out at 3.7 states/eV/f.u. For the total magnetic moment, the calculation gives 0.000 μB/atom. The value obtained for the energy above the most stable polymorph in this dataset is 0.0 kJ/mol of atoms. The calculation puts the formation energy at -0.577 eV per atom.

The space group is Pbam (No. 55) and the conventional cell measures 5.341, 10.292 and 4.147 Å, with angles of 90.00, 90.00 and 90.00 degrees. The asymmetric unit holds Li at (0.156, 0.134, 0.000), Al at (0.000, 0.500, 0.500), Pd at (0.000, 0.000, 0.500), Pd at (0.123, 0.734, 0.500) and Pd at (0.170, 0.389, 0.000).